Record 1
First-principles (meta-GGA SCAN) data for AgAuCl2 at its PBEsol-relaxed geometry, as listed in the Alexandria database.

It has space group P4mm (No. 99), with a = 3.513 Å, b = 3.513 Å, c = 6.554 Å, α = 90.00°, β = 90.00° and γ = 90.00°. The asymmetric unit holds Ag at (0.000, 0.000, 0.000), Au at (0.500, 0.500, 0.207), Cl at (0.000, 0.000, 0.413) and Cl at (0.500, 0.500, 0.815).

As for the total energy: -117.08 eV per cell. For the formation energy (no corrections), the calculation gives -14.6 kJ per mole of atoms. The energy above the most stable polymorph in this dataset is 218.0 meV/atom.

---

Record 2
First-principles (meta-GGA SCAN) data for K2AgAuCl6 at its PBEsol-relaxed geometry, as listed in the Alexandria database.

It has space group Fm-3m (No. 225), with a = 10.019 Å, b = 10.019 Å, c = 10.019 Å, α = 90.00°, β = 90.00° and γ = 90.00°. The asymmetric unit holds K at (0.250, 0.250, 0.250), Ag at (0.000, 0.000, 0.000), Au at (0.000, 0.000, 0.500) and Cl at (0.000, 0.000, 0.252).

As for the total energy: -705.49 eV per cell. For the density of states at the Fermi level, the calculation gives 0.162 states/eV per atom. For the formation energy (no corrections), the calculation gives -109.3 kJ per mole of atoms.

---

Record 3
First-principles (meta-GGA SCAN) data for AgAuNCl2 at its PBEsol-relaxed geometry, as listed in the Alexandria database.

It has space group P4/mmm (No. 123), with a = 4.832 Å, b = 4.832 Å, c = 5.218 Å, α = 90.00°, β = 90.00° and γ = 90.00°. The asymmetric unit holds Ag at (0.000, 0.000, 0.000), Au at (0.000, 0.000, 0.500), N at (0.500, 0.500, 0.500) and Cl at (0.000, 0.500, 0.000).

As for the total energy: -120.35 eV per cell. For the density of states at the Fermi level, the calculation gives 0.350 states/eV per atom. For the formation energy (no corrections), the calculation gives 104.6 kJ per mole of atoms.

---

Record 4
First-principles (meta-GGA SCAN) data for AgP2AuCl at its PBEsol-relaxed geometry, as listed in the Alexandria database.

It has space group P4/mmm (No. 123), with a = 4.750 Å, b = 4.750 Å, c = 4.747 Å, α = 90.00°, β = 90.00° and γ = 90.00°. The asymmetric unit holds Ag at (0.000, 0.000, 0.000), P at (0.000, 0.500, 0.000), Au at (0.500, 0.500, 0.500) and Cl at (0.000, 0.000, 0.500).

As for the total energy: -123.90 eV per cell. For the density of states at the Fermi level, the calculation gives 0.404 states/eV per atom. For the formation energy (no corrections), the calculation gives 104.2 kJ per mole of atoms.

---

Record 5
First-principles (meta-GGA SCAN) data for AgPdAu2Cl at its PBEsol-relaxed geometry, as listed in the Alexandria database.

It has space group P4/mmm (No. 123), with a = 5.042 Å, b = 5.042 Å, c = 4.441 Å, α = 90.00°, β = 90.00° and γ = 90.00°. The asymmetric unit holds Ag at (0.000, 0.000, 0.000), Pd at (0.500, 0.500, 0.500), Au at (0.000, 0.500, 0.500) and Cl at (0.500, 0.500, 0.000).

As for the total energy: -208.10 eV per cell. For the density of states at the Fermi level, the calculation gives 0.388 states/eV per atom. For the formation energy (no corrections), the calculation gives 45.0 kJ per mole of atoms.

---

Record 6
First-principles (meta-GGA SCAN) data for Rb2AgAuCl6 at its PBEsol-relaxed geometry, as listed in the Alexandria database.

It has space group Fm-3m (No. 225), with a = 10.065 Å, b = 10.065 Å, c = 10.065 Å, α = 90.00°, β = 90.00° and γ = 90.00°. The asymmetric unit holds Rb at (0.250, 0.250, 0.250), Ag at (0.000, 0.000, 0.000), Au at (0.000, 0.000, 0.500) and Cl at (0.000, 0.000, 0.252).

As for the total energy: -806.31 eV per cell. For the density of states at the Fermi level, the calculation gives 0.178 states/eV per atom. For the formation energy (no corrections), the calculation gives -113.0 kJ per mole of atoms.